A plane-wave DFT calculation with PBE was carried out for a relaxed Pa3Zn5Se12 crystal.

The space group is Ia-3d (No. 230) and the conventional cell measures 15.7556, 15.7556 and 15.7556 Å, with angles of 90.00, 90.00 and 90.00 degrees. The distinct sites, in fractional coordinates, are Pa at (0.0000, 0.2500, 0.1250), Zn at (0.0000, 0.0000, 0.0000), Zn at (0.0000, 0.2500, 0.3750) and Se at (0.0248, 0.0649, 0.6515).

The magnetization is 0.06 μB/atom. The value obtained for the energy relative to the elements, uncorrected is -0.89 eV per atom.

***

A plane-wave DFT calculation with PBE was carried out for a relaxed Dy4TmScS8 crystal.

The space group is R3m (No. 160, hexagonal axes) and the conventional cell measures 7.9614, 7.9614 and 19.4624 Å, with angles of 90.00, 90.00 and 120.00 degrees. The distinct sites, in fractional coordinates, are Dy at (0.0000, 0.0000, 0.0000), Dy at (0.0086, 0.5043, 0.1258), Tm at (0.0000, 0.0000, 0.6217), Sc at (0.0000, 0.0000, 0.2495), S at (0.0000, 0.0000, 0.3769), S at (0.0000, 0.0000, 0.8664), S at (0.0253, 0.5127, 0.3766) and S at (0.1714, 0.3428, 0.2085).

The magnetization is 0.05 μB/atom. The value obtained for the energy relative to the elements, uncorrected is -1.92 eV per atom.

***

A plane-wave DFT calculation with PBE was carried out for a relaxed PuInS3 crystal.

The space group is P2_1/m (No. 11) and the conventional cell measures 6.8814, 4.1389 and 10.4537 Å, with angles of 90.00, 103.77 and 90.00 degrees. The distinct sites, in fractional coordinates, are Pu at (0.0215, 0.2500, 0.3341), In at (0.4747, 0.2500, 0.8246), S at (0.2001, 0.2500, 0.5960), S at (0.2079, 0.7500, 0.2425) and S at (0.3135, 0.7500, 0.8938).

The magnetization is 1.00 μB/atom. The value obtained for the energy relative to the elements, uncorrected is -1.04 eV per atom.

***

A plane-wave DFT calculation with PBE was carried out for a relaxed La6Tb2Th crystal.

The space group is C2/m (No. 12) and the conventional cell measures 9.4646, 18.2717 and 3.6917 Å, with angles of 90.00, 99.48 and 90.00 degrees. The distinct sites, in fractional coordinates, are La at (0.1699, 0.1719, 0.3194), La at (0.1767, 0.0000, 0.8243), Tb at (0.0000, 0.3395, 0.0000) and Th at (0.0000, 0.5000, 0.5000).

The magnetization is 0.00 μB/atom. The value obtained for the uncorrected energy is -5.038 eV per atom.

***

A plane-wave DFT calculation with PBE was carried out for a relaxed LaTb12Y7 crystal.

The space group is R-3 (No. 148, hexagonal axes) and the conventional cell measures 12.0665, 12.0665 and 15.9829 Å, with angles of 90.00, 90.00 and 120.00 degrees. The distinct sites, in fractional coordinates, are La at (0.0000, 0.0000, 0.0000), Tb at (0.0221, 0.5722, 0.2181), Tb at (0.0526, 0.8628, 0.2938), Y at (0.0000, 0.0000, 0.5000) and Y at (0.0471, 0.4600, 0.5844).

The magnetization is 0.00 μB/atom. The value obtained for the uncorrected energy is -5.043 eV per atom.

***

A plane-wave DFT calculation with PBE was carried out for a relaxed TeIrRh2 crystal.

The space group is Cm (No. 8) and the conventional cell measures 9.0547, 3.0244 and 4.8577 Å, with angles of 90.00, 101.58 and 90.00 degrees. The distinct sites, in fractional coordinates, are Te at (0.0000, 0.0000, 0.0000), Ir at (0.2504, 0.0000, 0.7162), Rh at (0.0031, 0.5000, 0.4940) and Rh at (0.2507, 0.5000, 0.2457).

The magnetization is 0.00 μB/atom. The value obtained for the energy relative to the elements, uncorrected is 0.20 eV per atom.